First-principles (PBE) data for TcAs2Cl after structural relaxation, as listed in Alexandria via LeMat-Bulk.

## Properties
Uncorrected formation energy in eV per atom: 0.567
DOS at the Fermi energy in states/eV/f.u.: 3.1
Crystal system: orthorhombic
Offset from the most stable computed form in eV/atom: 0.6591
Symmetry: Cmmm

abc: 4.967 4.967 3.222
angles: 90.00 90.00 119.05
Fractional positions:
As 0.000 0.000 0.000
As 0.500 0.500 0.000
Tc 0.000 0.500 0.500
Cl 0.500 0.000 0.500